(1)
This record from Alexandria via LeMat-Bulk describes a geometry-optimized TbScAg4 structure. The functional is GGA-PBE.

Calculated values
* ΔE to the lowest computed polymorph: 0.163 eV per atom
* E_form: -0.126 eV per atom

Lattice parameters (Å, degrees): 5.6311 5.6311 5.6311 60.00 60.00 60.00
Fractional positions:
Ag: 0.1261 0.6246 0.6246
Ag: 0.6246 0.6246 0.1261
Sc: 0.2500 0.2500 0.2500
Ag: 0.6246 0.6246 0.6246
Ag: 0.6246 0.1261 0.6246
Tb: 0.0000 0.0000 0.0000

---

(2)
This record from Alexandria via LeMat-Bulk describes a geometry-optimized TbScAg4 structure. The functional is GGA-PBE.

Calculated values
* ΔE to the lowest computed polymorph: 0.000 eV per atom
* E_form: -0.289 eV per atom

Lattice parameters (Å, degrees): 3.7055 5.2364 7.3680 101.12 75.43 69.21
Fractional positions:
Sc: 0.0013 0.9973 0.4982
Tb: 0.5013 0.4973 0.9981
Ag: 0.3487 0.9830 0.8171
Ag: 0.8238 0.5072 0.3432
Ag: 0.1788 0.4874 0.6530
Ag: 0.6539 0.0115 0.1792